[1]
{
  "formula": "InGa2Ir2",
  "functional": "GGA-PBE",
  "state": "relaxed",
  "e_tot_ev_per_atom": -5.353,
  "lattice": [[4.2242, 0.0000, 0.0000], [0.0000, 4.2242, 0.0000], [0.0000, 0.0000, 10.1524]],
  "species": ["In", "In", "Ga", "Ga", "Ga", "Ga", "Ir", "Ir", "Ir", "Ir"],
  "frac_coords": [[0.0000, 0.0000, 0.0000], [0.5000, 0.5000, 0.5000], [0.0000, 0.0000, 0.3798], [0.0000, 0.0000, 0.6202], [0.5000, 0.5000, 0.1202], [0.5000, 0.5000, 0.8798], [0.0000, 0.5000, 0.2500], [0.0000, 0.5000, 0.7500], [0.5000, 0.0000, 0.2500], [0.5000, 0.0000, 0.7500]]
}

***

[2]
{
  "formula": "HfSiAg",
  "functional": "GGA-PBE",
  "state": "relaxed",
  "e_tot_ev_per_atom": -5.864,
  "lattice": [[6.3466, 0.0000, 0.0000], [0.0000, 6.3466, 0.0000], [0.0000, 0.0000, 6.3466]],
  "species": ["Hf", "Hf", "Hf", "Hf", "Si", "Si", "Si", "Si", "Ag", "Ag", "Ag", "Ag"],
  "frac_coords": [[0.0000, 0.0000, 0.0000], [0.0000, 0.5000, 0.5000], [0.5000, 0.0000, 0.5000], [0.5000, 0.5000, 0.0000], [0.2500, 0.2500, 0.2500], [0.2500, 0.7500, 0.7500], [0.7500, 0.2500, 0.7500], [0.7500, 0.7500, 0.2500], [0.2500, 0.2500, 0.7500], [0.2500, 0.7500, 0.2500], [0.7500, 0.2500, 0.2500], [0.7500, 0.7500, 0.7500]]
}

***

[3]
{
  "formula": "KLiNpS3",
  "functional": "GGA-PBE",
  "state": "relaxed",
  "e_tot_ev_per_atom": -6.081,
  "lattice": [[2.0252, -6.8602, 0.0000], [2.0252, 6.8602, 0.0000], [0.0000, 0.0000, 10.4120]],
  "species": ["K", "K", "Li", "Li", "Np", "Np", "S", "S", "S", "S", "S", "S"],
  "frac_coords": [[0.2375, 0.7625, 0.7500], [0.7625, 0.2375, 0.2500], [0.0408, 0.9592, 0.2500], [0.9592, 0.0408, 0.7500], [0.5000, 0.5000, 0.0000], [0.5000, 0.5000, 0.5000], [0.1236, 0.8764, 0.0499], [0.1236, 0.8764, 0.4501], [0.4480, 0.5520, 0.2500], [0.5520, 0.4480, 0.7500], [0.8764, 0.1236, 0.5499], [0.8764, 0.1236, 0.9501]]
}

***

[4]
{
  "formula": "HoNb2CuSi2",
  "functional": "GGA-PBE",
  "state": "relaxed",
  "e_tot_ev_per_atom": -6.846,
  "lattice": [[3.9492, 0.0000, 0.0000], [0.0000, 3.9492, 0.0000], [0.0000, 0.0000, 7.1242]],
  "species": ["Ho", "Nb", "Nb", "Cu", "Si", "Si"],
  "frac_coords": [[0.0000, 0.0000, 0.0000], [0.0000, 0.5000, 0.3730], [0.5000, 0.0000, 0.3730], [0.5000, 0.5000, 0.7078], [0.0000, 0.0000, 0.6198], [0.5000, 0.5000, 0.1063]]
}

***

[5]
{
  "formula": "BaErHg",
  "functional": "GGA-PBE",
  "state": "relaxed",
  "e_tot_ev_per_atom": -2.033,
  "lattice": [[7.4705, 0.0000, 0.0000], [0.0000, 7.4705, 0.0000], [0.0000, 0.0000, 7.4705]],
  "species": ["Ba", "Ba", "Ba", "Ba", "Er", "Er", "Er", "Er", "Hg", "Hg", "Hg", "Hg"],
  "frac_coords": [[0.0000, 0.0000, 0.0000], [0.0000, 0.5000, 0.5000], [0.5000, 0.0000, 0.5000], [0.5000, 0.5000, 0.0000], [0.2500, 0.2500, 0.2500], [0.2500, 0.7500, 0.7500], [0.7500, 0.2500, 0.7500], [0.7500, 0.7500, 0.2500], [0.0000, 0.0000, 0.5000], [0.0000, 0.5000, 0.0000], [0.5000, 0.0000, 0.0000], [0.5000, 0.5000, 0.5000]]
}

***

[6]
{
  "formula": "RbPrCu",
  "functional": "GGA-PBE",
  "state": "relaxed",
  "e_tot_ev_per_atom": -2.532,
  "lattice": [[7.4568, 0.0000, 0.0000], [0.0000, 7.4568, 0.0000], [0.0000, 0.0000, 7.4568]],
  "species": ["Rb", "Rb", "Rb", "Rb", "Pr", "Pr", "Pr", "Pr", "Cu", "Cu", "Cu", "Cu"],
  "frac_coords": [[0.0000, 0.0000, 0.0000], [0.0000, 0.5000, 0.5000], [0.5000, 0.0000, 0.5000], [0.5000, 0.5000, 0.0000], [0.0000, 0.0000, 0.5000], [0.0000, 0.5000, 0.0000], [0.5000, 0.0000, 0.0000], [0.5000, 0.5000, 0.5000], [0.2500, 0.2500, 0.7500], [0.2500, 0.7500, 0.2500], [0.7500, 0.2500, 0.2500], [0.7500, 0.7500, 0.7500]]
}

***

[7]
{
  "formula": "ZrCuAgBi",
  "functional": "GGA-PBE",
  "state": "relaxed",
  "e_tot_ev_per_atom": -4.613,
  "lattice": [[6.9044, 0.0000, 0.0000], [0.0000, 6.9044, 0.0000], [0.0000, 0.0000, 6.9044]],
  "species": ["Zr", "Zr", "Zr", "Zr", "Cu", "Cu", "Cu", "Cu", "Ag", "Ag", "Ag", "Ag", "Bi", "Bi", "Bi", "Bi"],
  "frac_coords": [[0.0000, 0.0000, 0.0000], [0.0000, 0.5000, 0.5000], [0.5000, 0.0000, 0.5000], [0.5000, 0.5000, 0.0000], [0.2500, 0.2500, 0.2500], [0.2500, 0.7500, 0.7500], [0.7500, 0.2500, 0.7500], [0.7500, 0.7500, 0.2500], [0.2500, 0.2500, 0.7500], [0.2500, 0.7500, 0.2500], [0.7500, 0.2500, 0.2500], [0.7500, 0.7500, 0.7500], [0.0000, 0.0000, 0.5000], [0.0000, 0.5000, 0.0000], [0.5000, 0.0000, 0.0000], [0.5000, 0.5000, 0.5000]]
}

***

[8]
{
  "formula": "BeCu2As",
  "functional": "GGA-PBE",
  "state": "relaxed",
  "e_tot_ev_per_atom": -3.775,
  "lattice": [[5.8718, 0.0000, 0.0000], [0.0000, 5.8718, 0.0000], [0.0000, 0.0000, 5.8718]],
  "species": ["Be", "Be", "Be", "Be", "Cu", "Cu", "Cu", "Cu", "Cu", "Cu", "Cu", "Cu", "As", "As", "As", "As"],
  "frac_coords": [[0.0000, 0.0000, 0.0000], [0.0000, 0.0000, 0.5000], [0.0000, 0.5000, 0.0000], [0.5000, 0.0000, 0.0000], [0.2223, 0.2223, 0.2223], [0.2223, 0.2223, 0.7777], [0.2223, 0.7777, 0.2223], [0.2223, 0.7777, 0.7777], [0.7777, 0.2223, 0.2223], [0.7777, 0.2223, 0.7777], [0.7777, 0.7777, 0.2223], [0.7777, 0.7777, 0.7777], [0.0000, 0.5000, 0.5000], [0.5000, 0.0000, 0.5000], [0.5000, 0.5000, 0.0000], [0.5000, 0.5000, 0.5000]]
}